No. 1
{
  "formula": "Sn6Se",
  "functional": "PBE-GGA",
  "state": "relaxed",
  "spacegroup": "Im-3m (229)",
  "crystal_system": "cubic",
  "cell": [[6.999, 0.000, 0.000], [-2.333, 6.598, 0.000], [-2.333, -3.299, 5.714]],
  "species": ["Sn", "Sn", "Sn", "Sn", "Sn", "Sn", "Se"],
  "frac_coords": [[0.750, 0.500, 0.250], [0.250, 0.500, 0.750], [0.750, 0.250, 0.500], [0.500, 0.250, 0.750], [0.500, 0.750, 0.250], [0.250, 0.750, 0.500], [0.000, 0.000, 0.000]]
}


No. 2
{
  "formula": "Sn3Se",
  "functional": "PBE-GGA",
  "state": "relaxed",
  "spacegroup": "Immm (71)",
  "crystal_system": "orthorhombic",
  "cell": [[3.747, 0.000, 0.000], [0.000, 5.293, 0.000], [-1.874, -2.646, 5.307]],
  "species": ["Sn", "Sn", "Sn", "Se"],
  "frac_coords": [[0.273, 0.689, 0.545], [0.727, 0.144, 0.455], [0.500, 0.417, 0.000], [0.000, 0.917, 0.000]]
}


No. 3
{
  "formula": "Sn3Se4",
  "functional": "PBE-GGA",
  "state": "relaxed",
  "e_above_lowest_polymorph_mev_per_atom": 6,
  "spacegroup": "C2/m (12)",
  "crystal_system": "monoclinic",
  "cell": [[4.061, 0.000, 0.000], [0.000, 7.068, -0.079], [-2.030, -3.317, 7.047]],
  "species": ["Se", "Se", "Se", "Se", "Sn", "Sn", "Sn"],
  "frac_coords": [[0.629, 0.977, 0.259], [0.875, 0.548, 0.750], [0.125, 0.452, 0.250], [0.371, 0.023, 0.741], [0.264, 0.279, 0.527], [0.736, 0.721, 0.473], [0.000, 0.000, 0.000]]
}


No. 4
{
  "formula": "Sn2Se3",
  "functional": "PBE-GGA",
  "state": "relaxed",
  "spacegroup": "R-3c (167)",
  "crystal_system": "trigonal",
  "cell": [[7.118, 0.000, 0.000], [3.559, 6.165, 0.000], [3.559, 2.055, 6.560]],
  "species": ["Se", "Se", "Se", "Se", "Se", "Se", "Sn", "Sn", "Sn", "Sn"],
  "frac_coords": [[0.562, 0.938, 0.250], [0.938, 0.250, 0.250], [0.062, 0.750, 0.750], [0.750, 0.438, 0.750], [0.250, 0.562, 0.250], [0.438, 0.062, 0.750], [0.155, 0.155, 0.536], [0.655, 0.655, 0.036], [0.845, 0.845, 0.464], [0.345, 0.345, 0.964]]
}


What did we get for formation energy without anion corrections? Answer: 8.1 -1.1 -8.6 -6.7 kcal/mol of atoms, in the order shown.
What did we get for E_tot? Answer: -3.576 -3.919 -4.079 -3.982 eV/atom, in the order shown.